# 1
# KHfO3

A relaxed structure of KHfO3 (GGA-PBE, Alexandria via LeMat-Bulk).

abc: 4.5053 6.1100 7.9910
angles: 90.00 125.49 90.00
Element x y z (fractional)
O 0.7868 0.0061 0.0259
O 0.7868 0.4939 0.0259
O 0.2132 0.5061 0.9741
K 0.4687 0.7500 0.3597
O 0.2132 0.9939 0.9741
K 0.5313 0.2500 0.6403
O 0.7588 0.2500 0.3918
O 0.2412 0.7500 0.6082
Hf 0.5704 0.2500 0.1122
Hf 0.4296 0.7500 0.8878

=====

# 2
# KHfO3

A relaxed structure of KHfO3 (GGA-PBE, Alexandria via LeMat-Bulk).

abc: 13.9044 8.0790 8.0790
angles: 101.30 134.99 45.01
Element x y z (fractional)
K 0.2500 0.3819 0.8819
K 0.2500 0.8708 0.3708
O 0.5885 0.6005 0.4833
O 0.0885 0.0167 0.8995
O 0.4106 0.6209 0.8493
O 0.9106 0.6507 0.8791
O 0.0927 0.2461 0.7247
K 0.7500 0.6181 0.1181
O 0.9115 0.9833 0.1005
Hf 0.3639 0.8208 0.0509
O 0.4115 0.3995 0.5167
O 0.5894 0.3791 0.1507
K 0.7500 0.1292 0.6292
O 0.5927 0.7753 0.2539
Hf 0.1361 0.5509 0.3208
Hf 0.6361 0.1792 0.9491
Hf 0.8639 0.4491 0.6792
O 0.0894 0.3493 0.1209
O 0.4073 0.2247 0.7461
O 0.9073 0.7539 0.2753

=====

# 3
# K3HfO

A relaxed structure of K3HfO (GGA-PBE, Alexandria via LeMat-Bulk).

abc: 6.6969 6.6969 6.6969
angles: 90.00 90.00 90.00
Element x y z (fractional)
K 0.5000 0.0000 0.0000
K 0.0000 0.0000 0.5000
O 0.5000 0.5000 0.5000
Hf 0.0000 0.0000 0.0000
K 0.0000 0.5000 0.0000

=====

# 4
# KHfO3

A relaxed structure of KHfO3 (GGA-PBE, Alexandria via LeMat-Bulk).

abc: 4.4833 4.4833 8.0443
angles: 73.82 73.82 90.00
Element x y z (fractional)
O 0.1016 0.8234 0.7968
O 0.7354 0.7354 0.5291
O 0.1766 0.8984 0.2032
O 0.6202 0.8984 0.2032
K 0.8476 0.3476 0.3048
O 0.1016 0.3798 0.7968
K 0.6524 0.1524 0.6952
Hf 0.2500 0.7500 0.5000
Hf 0.0000 0.0000 0.0000
O 0.2646 0.2646 0.4709

=====

# 5
# KHfO3

A relaxed structure of KHfO3 (GGA-PBE, Alexandria via LeMat-Bulk).

abc: 6.9744 6.7795 3.2328
angles: 77.62 90.38 88.28
Element x y z (fractional)
Hf 0.9343 0.4806 0.5947
K 0.4238 0.4526 0.6137
O 0.7434 0.4833 0.1040
O 0.9336 0.1526 0.8723
O 0.1283 0.5595 0.0582
Hf 0.1165 0.8805 0.9187
O 0.3074 0.8779 0.4095
O 0.9226 0.8017 0.4551
O 0.1172 0.2086 0.6408
K 0.6270 0.9086 0.8998

=====

# 6
# KHfO3

A relaxed structure of KHfO3 (GGA-PBE, Alexandria via LeMat-Bulk).

abc: 12.2109 7.8372 7.8372
angles: 85.12 127.01 52.99
Element x y z (fractional)
O 0.3196 0.2406 0.0082
O 0.8196 0.4918 0.2594
K 0.6391 0.1327 0.0614
O 0.0520 0.2407 0.1373
Hf 0.7500 0.4560 0.9560
Hf 0.2500 0.5440 0.0440
Hf 0.7500 0.1714 0.6714
K 0.8609 0.5614 0.6327
O 0.5710 0.6031 0.5426
O 0.5520 0.3627 0.2593
O 0.9480 0.7593 0.8627
K 0.3609 0.8673 0.9386
O 0.1804 0.5082 0.7406
O 0.6804 0.7594 0.9918
K 0.1391 0.4386 0.3673
O 0.0710 0.9574 0.8969
O 0.4480 0.6373 0.7407
Hf 0.2500 0.8286 0.3286
O 0.9290 0.0426 0.1031
O 0.4290 0.3969 0.4574

=====

# 7
# K2HfO3

A relaxed structure of K2HfO3 (GGA-PBE, Alexandria via LeMat-Bulk).

abc: 5.8804 5.8804 12.4695
angles: 90.00 90.00 120.00
Element x y z (fractional)
K 0.6858 0.6858 0.7500
O 0.5994 0.5994 0.4063
K 0.3142 0.3142 0.2500
O 0.5994 0.0000 0.9063
K 0.0000 0.0000 0.5000
O 0.4006 0.0000 0.4063
K 0.0000 0.3142 0.7500
K 0.0000 0.6858 0.2500
O 0.4006 0.4006 0.5937
O 0.4006 0.4006 0.9063
O 0.0000 0.4006 0.4063
K 0.6858 0.0000 0.2500
K 0.3142 0.0000 0.7500
O 0.5994 0.0000 0.5937
O 0.5994 0.5994 0.0937
O 0.0000 0.4006 0.0937
Hf 0.6667 0.3333 0.0000
Hf 0.6667 0.3333 0.5000
Hf 0.3333 0.6667 0.0000
O 0.0000 0.5994 0.5937
O 0.4006 0.0000 0.0937
K 0.0000 0.0000 0.0000
O 0.0000 0.5994 0.9063
Hf 0.3333 0.6667 0.5000

=====

# 8
# KHfO3

A relaxed structure of KHfO3 (GGA-PBE, Alexandria via LeMat-Bulk).

abc: 3.7004 3.7004 14.1238
angles: 90.00 90.00 120.00
Element x y z (fractional)
K 0.0000 0.0000 0.0000
O 0.0000 0.0000 0.2500
K 0.0000 0.0000 0.5000
Hf 0.3333 0.6667 0.7500
O 0.3333 0.6667 0.6138
O 0.6667 0.3333 0.3862
Hf 0.6667 0.3333 0.2500
O 0.0000 0.0000 0.7500
O 0.6667 0.3333 0.1138
O 0.3333 0.6667 0.8862

=====

Computed values of electronic total energy (unit: eV per atom) for the preceding records, in sequence: -7.461; -7.667; -2.261; -7.095; -7.702; -7.734; -7.010; -7.307.
Computed values of E_form (uncorrected) (unit: eV/f.u.) for the preceding records, in sequence: -11.4; -12.4; 6.9; -9.6; -12.6; -12.7; -15.0; -10.6.
Computed values of M_tot (unit: μB per atom) for the preceding records, in sequence: 0.00; 0.00; 0.60; 0.00; 0.00; 0.00; 0.00; 0.20.